Entry 1:
## Pr3Ag2 (PBE)

Data for a geometry-optimized Pr3Ag2 structure.

Properties
Energy   -4.179 eV/atom
ΔH_f (0 K)   -17.8 kJ/mol of atoms

Lattice parameters (Å, degrees): 8.5657 8.5657 3.9216 90.00 90.00 90.00
Fractional coordinates of all 10 atoms:
1 Pr 0.0000 0.0000 0.0000
2 Pr 0.1693 0.3308 0.5000
3 Pr 0.3308 0.8308 0.5000
4 Pr 0.5000 0.5000 0.0000
5 Pr 0.6692 0.1693 0.5000
6 Pr 0.8308 0.6692 0.5000
7 Ag 0.1233 0.6233 0.0000
8 Ag 0.3767 0.1233 0.0000
9 Ag 0.6233 0.8767 0.0000
10 Ag 0.8767 0.3767 0.0000

Entry 2:
## PrAgPt (PBE)

Data for a geometry-optimized PrAgPt structure.

Properties
Energy   -5.159 eV/atom
ΔH_f (0 K)   -58.6 kJ/mol of atoms

Lattice parameters (Å, degrees): 4.7769 4.7769 4.7769 60.00 60.00 60.00
Fractional coordinates of all 3 atoms:
1 Pr 0.0000 0.0000 0.0000
2 Ag 0.5000 0.5000 0.5000
3 Pt 0.7500 0.7500 0.7500

Entry 3:
## Pr3AgPt8 (PBE)

Data for a geometry-optimized Pr3AgPt8 structure.

Properties
Energy   -6.360 eV/atom
ΔH_f (0 K)   -86.2 kJ/mol of atoms

Lattice parameters (Å, degrees): 9.5233 9.5233 9.5233 33.48 33.48 33.48
Fractional coordinates of all 12 atoms:
1 Pr 0.0000 0.0000 0.0000
2 Pr 0.1295 0.1295 0.1295
3 Pr 0.6130 0.6130 0.6130
4 Ag 0.4929 0.4929 0.4929
5 Pt 0.0593 0.0593 0.5634
6 Pt 0.0593 0.5634 0.0593
7 Pt 0.0606 0.5601 0.5601
8 Pt 0.3104 0.3104 0.3104
9 Pt 0.5601 0.0606 0.5601
10 Pt 0.5601 0.5601 0.0606
11 Pt 0.5634 0.0593 0.0593
12 Pt 0.8108 0.8108 0.8108

Entry 4:
## Pr4Ag3Pt (PBE)

Data for a geometry-optimized Pr4Ag3Pt structure.

Properties
Energy   -4.689 eV/atom
ΔH_f (0 K)   -46.8 kJ/mol of atoms

Lattice parameters (Å, degrees): 5.9172 4.8225 7.5437 90.00 90.65 90.00
Fractional coordinates of all 8 atoms:
1 Pr 0.0000 0.0000 0.0000
2 Pr 0.2098 0.0000 0.5258
3 Pr 0.4946 0.5000 0.8697
4 Pr 0.7330 0.5000 0.3860
5 Ag 0.2287 0.5000 0.2352
6 Ag 0.5003 0.0000 0.1611
7 Ag 0.7109 0.0000 0.6555
8 Pt 0.0051 0.5000 0.7373